PuAgPdCl6 (GGA-PBE, optimized geometry); DOS at the Fermi energy = 1.164 states/eV per atom; SG = P4_2nm, No. 102; formation energy (no corrections) = -1038 meV per atom
1.0
6.394 0.000 0.000
0.000 6.394 0.000
0.000 0.000 11.558
Pu Ag Pd Cl
2 2 2 12
Direct
0.500 0.500 0.835
0.000 0.000 0.335
0.500 0.500 0.162
0.000 0.000 0.662
0.500 0.500 0.504
0.000 0.000 0.004
0.210 0.790 0.495
0.790 0.210 0.495
0.290 0.290 0.995
0.710 0.710 0.995
0.196 0.804 0.163
0.804 0.196 0.163
0.304 0.304 0.663
0.696 0.696 0.663
0.798 0.202 0.842
0.202 0.798 0.842
0.702 0.702 0.342
0.298 0.298 0.342